The following is a DFT calculation (PBE) of a relaxed structure of LiAcGaNi.

Cell and atoms, written as POSCAR:
```
LiAcGaNi
1.0
-0.607 -3.496 2.528
3.745 0.492 -2.175
-0.321 3.368 4.581
Li Ac Ga Ni
1 1 1 1
Direct
0.418 0.836 0.895
0.612 0.224 0.480
0.129 0.258 0.028
0.808 0.615 0.064
```

Calculated values
distance to the lowest polymorph of the same formula = 0 meV per atom
formation enthalpy at 0 K = -0.341 eV per atom
magnetic moment = 0.000 μB per formula unit
symmetry = R3m, No. 160
E = -16.195 eV per cell
density = 7.16 g/cm³

The following is a DFT calculation (PBE) of a relaxed structure of MnBeIn2.

Cell and atoms, written as POSCAR:
```
MnBeIn2
1.0
-0.110 -4.874 -4.360
3.830 2.943 0.453
1.794 -2.413 0.519
Mn Be In
1 1 2
Direct
0.000 0.500 0.500
0.500 0.500 0.000
0.000 0.000 0.000
0.500 0.000 0.500
```

Calculated values
formation enthalpy at 0 K = 0.406 eV per atom
magnetic moment = 3.027 μB per formula unit
symmetry = Cmmm, No. 65
E = -16.749 eV per cell
density = 7.09 g/cm³

The following is a DFT calculation (PBE) of a relaxed structure of TmZnSi2.

Cell and atoms, written as POSCAR:
```
TmZnSi2
1.0
4.001 0.000 0.000
0.000 4.177 0.000
0.000 0.000 4.177
Zn Tm Si
1 1 2
Direct
0.500 0.000 0.000
0.500 0.500 0.500
0.000 0.000 0.500
0.000 0.500 0.000
```

Calculated values
distance to the lowest polymorph of the same formula = 0 meV per atom
magnetic moment = 0.000 μB per formula unit
symmetry = P4/mmm, No. 123
E = -17.743 eV per cell
raw formation energy = -288 meV per atom
density = 6.91 g/cm³

Please write out number 2 again, unchanged.
The following is a DFT calculation (PBE) of a relaxed structure of MnBeIn2.

Cell and atoms, written as POSCAR:
```
MnBeIn2
1.0
-0.110 -4.874 -4.360
3.830 2.943 0.453
1.794 -2.413 0.519
Mn Be In
1 1 2
Direct
0.000 0.500 0.500
0.500 0.500 0.000
0.000 0.000 0.000
0.500 0.000 0.500
```

Calculated values
formation enthalpy at 0 K = 0.406 eV per atom
magnetic moment = 3.027 μB per formula unit
symmetry = Cmmm, No. 65
E = -16.749 eV per cell
density = 7.09 g/cm³

Look up the density of the second one. 7.09 g/cm³

Look up the magnetic moment of the third one. 0.000 μB per formula unit

Among the records above, which one has the highest E? LiAcGaNi